Pr2MnGeO6 | the Alexandria database | PBE with a Hubbard U | relaxed; uncorrected energy = -7.522 eV/atom
1.0
-2.879 -2.722 -0.289
2.554 -3.111 3.854
-2.867 2.608 4.005
Ge O Pr Mn
1 6 2 1
Direct
0.645 0.000 0.000
0.645 0.765 0.235
0.645 0.765 0.765
0.145 0.000 0.000
0.145 0.500 0.500
0.645 0.235 0.765
0.645 0.235 0.235
0.145 0.500 0.000
0.145 0.000 0.500
0.645 0.500 0.500